Entry 1:
Entry from the Alexandria database: ZrTa2TlSn at its PBEsol-relaxed geometry (meta-GGA SCAN).

CIF file:
```
data_ZrTa2TlSn
_chemical_formula_sum 'Zr1 Ta2 Tl1 Sn1'
_cell_length_a 5.021
_cell_length_b 5.021
_cell_length_c 5.202
_cell_angle_alpha 90.00
_cell_angle_beta 90.00
_cell_angle_gamma 90.00
_symmetry_space_group_name_H-M 'P 4/m m m'
_symmetry_Int_Tables_number 123
_symmetry_space_group_name_Hall '-P 4 2'
loop_
_atom_site_label
_atom_site_type_symbol
_atom_site_fract_x
_atom_site_fract_y
_atom_site_fract_z
Zr1 Zr 0.000 0.000 0.000
Ta1 Ta 0.000 0.500 0.500
Tl1 Tl 0.000 0.000 0.500
Sn1 Sn 0.500 0.500 0.000
```

Calculated values
Crystal system: tetragonal
Electronic total energy in eV per atom: -52.746
Energy of formation from the pure elements in eV per atom: 1.68
DOS at the Fermi energy in states/eV per cell: 4.8

Entry 2:
Entry from the Alexandria database: TaZn3Sn at its PBEsol-relaxed geometry (meta-GGA SCAN).

CIF file:
```
data_TaZn3Sn
_chemical_formula_sum 'Ta1 Zn3 Sn1'
_cell_length_a 4.816
_cell_length_b 4.816
_cell_length_c 4.816
_cell_angle_alpha 90.00
_cell_angle_beta 90.00
_cell_angle_gamma 90.00
_symmetry_space_group_name_H-M 'P m -3 m'
_symmetry_Int_Tables_number 221
_symmetry_space_group_name_Hall '-P 4 2 3'
loop_
_atom_site_label
_atom_site_type_symbol
_atom_site_fract_x
_atom_site_fract_y
_atom_site_fract_z
Ta1 Ta 0.000 0.000 0.000
Zn1 Zn 0.000 0.500 0.500
Sn1 Sn 0.500 0.500 0.500
```

Calculated values
Crystal system: cubic
Offset from the most stable computed form in meV/atom: 467
Electronic total energy in eV per atom: -27.075
Energy of formation from the pure elements in eV per atom: 1.53
DOS at the Fermi energy in states/eV per cell: 4.1

Entry 3:
Entry from the Alexandria database: TaZn3Sn at its PBEsol-relaxed geometry (meta-GGA SCAN).

CIF file:
```
data_TaZn3Sn
_chemical_formula_sum 'Ta1 Zn3 Sn1'
_cell_length_a 4.936
_cell_length_b 4.936
_cell_length_c 4.936
_cell_angle_alpha 90.00
_cell_angle_beta 90.00
_cell_angle_gamma 90.00
_symmetry_space_group_name_H-M 'P m -3 m'
_symmetry_Int_Tables_number 221
_symmetry_space_group_name_Hall '-P 4 2 3'
loop_
_atom_site_label
_atom_site_type_symbol
_atom_site_fract_x
_atom_site_fract_y
_atom_site_fract_z
Ta1 Ta 0.000 0.000 0.000
Zn1 Zn 0.000 0.000 0.500
Sn1 Sn 0.500 0.500 0.500
```

Calculated values
Crystal system: cubic
Offset from the most stable computed form in meV/atom: 0
Electronic total energy in eV per atom: -27.542
Energy of formation from the pure elements in eV per atom: 1.07
DOS at the Fermi energy in states/eV per cell: 4.8

Entry 4:
Entry from the Alexandria database: Tb3Sn7 at its PBEsol-relaxed geometry (meta-GGA SCAN).

CIF file:
```
data_Tb3Sn7
_chemical_formula_sum 'Tb6 Sn14'
_cell_length_a 4.355
_cell_length_b 26.083
_cell_length_c 4.383
_cell_angle_alpha 90.00
_cell_angle_beta 90.00
_cell_angle_gamma 90.00
_symmetry_space_group_name_H-M 'C m m m'
_symmetry_Int_Tables_number 65
_symmetry_space_group_name_Hall '-C 2 2'
loop_
_atom_site_label
_atom_site_type_symbol
_atom_site_fract_x
_atom_site_fract_y
_atom_site_fract_z
Tb1 Tb 0.000 0.000 0.000
Tb2 Tb 0.000 0.311 0.500
Sn1 Sn 0.000 0.097 0.500
Sn2 Sn 0.000 0.211 0.000
Sn3 Sn 0.000 0.403 0.000
Sn4 Sn 0.000 0.500 0.500
```

Calculated values
Crystal system: orthorhombic
Electronic total energy in eV per atom: -39.792
Energy of formation from the pure elements in eV per atom: -0.62
DOS at the Fermi energy in states/eV per cell: 6.0